The following is a PBE+U calculation of a geometry-optimized CrPbNF2 structure, from Alexandria via LeMat-Bulk.

Lattice parameters (Å, degrees): 4.5153 4.5153 4.3824 90.00 90.00 90.00
Closest atoms and distances in Å follow each position.
Fractional positions:
Pb1 0.0000 0.0000 0.0000  2 N 2.19, 4 F 2.26
Cr1 0.5000 0.5000 0.5000  8 F 3.15, 4 N 3.19
N1 0.0000 0.0000 0.5000  2 Pb 2.19
F1 0.0000 0.5000 0.0000  2 Pb 2.26
F2 0.5000 0.0000 0.0000  2 Pb 2.26

Summary:
Energy above the most stable polymorph in this dataset in meV/atom: 722
V in Å³/cell: 89
M_tot in μB per formula unit: 4.3